An optimized crystal structure of NiPb2Cl. Source: Alexandria via LeMat-Bulk, functional PBE. Values from VASP.

Summary:
M_tot   0.00 μB per atom
ΔE to the lowest computed polymorph   0.326 eV/atom
SG   Fm-3m (225)
Mass density   9.151 g/cm³
Formation energy (no corrections)   150 meV per atom
Crystal system   cubic

The structure in Quantum ESPRESSO input format:
```
&SYSTEM
  ibrav = 0, nat = 16, ntyp = 3
/
ATOMIC_SPECIES
Ni 58.69 Ni.upf
Pb 207.20 Pb.upf
Cl 35.45 Cl.upf
ATOMIC_POSITIONS angstrom
Ni 0.000 0.000 0.000
Ni 0.000 3.587 3.587
Ni 3.587 0.000 3.587
Ni 3.587 3.587 0.000
Pb 1.793 1.793 1.793
Pb 1.793 1.793 5.380
Pb 1.793 5.380 1.793
Pb 1.793 5.380 5.380
Pb 5.380 1.793 1.793
Pb 5.380 1.793 5.380
Pb 5.380 5.380 1.793
Pb 5.380 5.380 5.380
Cl 0.000 0.000 3.587
Cl 0.000 3.587 0.000
Cl 3.587 0.000 0.000
Cl 3.587 3.587 3.587
CELL_PARAMETERS angstrom
7.173 0.000 0.000
0.000 7.173 0.000
0.000 0.000 7.173
```



An optimized crystal structure of NiPb2Cl. Source: Alexandria via LeMat-Bulk, functional PBE. Values from VASP.

Summary:
M_tot   0.00 μB per atom
ΔE to the lowest computed polymorph   0.228 eV/atom
SG   P4mm (99)
Mass density   9.110 g/cm³
Formation energy (no corrections)   52 meV per atom
Crystal system   tetragonal

The structure in Quantum ESPRESSO input format:
```
&SYSTEM
  ibrav = 0, nat = 4, ntyp = 3
/
ATOMIC_SPECIES
Ni 58.69 Ni.upf
Pb 207.20 Pb.upf
Cl 35.45 Cl.upf
ATOMIC_POSITIONS angstrom
Ni 0.000 0.000 0.000
Pb 0.000 0.000 4.268
Pb 1.672 1.672 1.522
Cl 1.672 1.672 6.697
CELL_PARAMETERS angstrom
3.344 0.000 0.000
0.000 3.344 0.000
0.000 0.000 8.287
```



An optimized crystal structure of NiPb2Cl. Source: Alexandria via LeMat-Bulk, functional PBE. Values from VASP.

Summary:
M_tot   0.00 μB per atom
ΔE to the lowest computed polymorph   0.103 eV/atom
SG   Pm (6)
Mass density   8.419 g/cm³
Formation energy (no corrections)   -73 meV per atom
Crystal system   monoclinic

The structure in Quantum ESPRESSO input format:
```
&SYSTEM
  ibrav = 0, nat = 4, ntyp = 3
/
ATOMIC_SPECIES
Ni 58.69 Ni.upf
Pb 207.20 Pb.upf
Cl 35.45 Cl.upf
ATOMIC_POSITIONS angstrom
Ni 0.000 0.000 0.000
Pb -1.291 2.678 5.214
Pb 1.812 0.000 2.033
Cl 0.545 2.678 2.748
CELL_PARAMETERS angstrom
3.542 0.000 0.000
0.000 5.355 0.000
-1.317 0.000 5.288
```



An optimized crystal structure of NiPbCl4. Source: Alexandria via LeMat-Bulk, functional PBE. Values from VASP.

Summary:
M_tot   0.02 μB per atom
ΔE to the lowest computed polymorph   0.000 eV/atom
SG   I-4 (82)
Mass density   3.952 g/cm³
Formation energy (no corrections)   -784 meV per atom
Crystal system   tetragonal

The structure in Quantum ESPRESSO input format:
```
&SYSTEM
  ibrav = 0, nat = 12, ntyp = 3
/
ATOMIC_SPECIES
Ni 58.69 Ni.upf
Pb 207.20 Pb.upf
Cl 35.45 Cl.upf
ATOMIC_POSITIONS angstrom
Ni 0.000 0.000 0.000
Ni 3.407 3.407 3.690
Pb 0.000 3.407 1.845
Pb 3.407 0.000 5.535
Cl 1.537 1.550 7.374
Cl 1.550 5.276 0.007
Cl 1.856 4.943 3.697
Cl 1.870 1.856 3.684
Cl 4.943 4.957 3.684
Cl 4.957 1.870 3.697
Cl 5.263 1.537 0.007
Cl 5.276 5.263 7.374
CELL_PARAMETERS angstrom
6.813 0.000 0.000
0.000 6.813 0.000
0.000 0.000 7.381
```



An optimized crystal structure of NiPdPbCl6. Source: Alexandria via LeMat-Bulk, functional PBE. Values from VASP.

Summary:
M_tot   0.23 μB per atom
SG   C2 (5)
Mass density   4.192 g/cm³
Formation energy (no corrections)   -660 meV per atom
Crystal system   monoclinic

The structure in Quantum ESPRESSO input format:
```
&SYSTEM
  ibrav = 0, nat = 9, ntyp = 4
/
ATOMIC_SPECIES
Ni 58.69 Ni.upf
Pd 106.42 Pd.upf
Pb 207.20 Pb.upf
Cl 35.45 Cl.upf
ATOMIC_POSITIONS angstrom
Ni 0.000 0.000 0.000
Pd 3.502 -1.636 0.000
Pb 3.119 1.889 3.149
Cl 0.839 -1.474 1.610
Cl 1.481 -0.022 5.168
Cl 2.002 -3.385 4.916
Cl 4.757 -0.022 1.130
Cl 4.236 -3.385 1.383
Cl 5.398 -1.474 4.688
CELL_PARAMETERS angstrom
3.502 -5.253 0.000
3.502 5.253 0.000
-0.766 0.000 6.299
```



An optimized crystal structure of RbNiPbCl6. Source: Alexandria via LeMat-Bulk, functional PBE. Values from VASP.

Summary:
M_tot   0.33 μB per atom
SG   P312 (149)
Mass density   3.230 g/cm³
Formation energy (no corrections)   -1000 meV per atom
Crystal system   trigonal

The structure in Quantum ESPRESSO input format:
```
&SYSTEM
  ibrav = 0, nat = 9, ntyp = 4
/
ATOMIC_SPECIES
Rb 85.47 Rb.upf
Ni 58.69 Ni.upf
Pb 207.20 Pb.upf
Cl 35.45 Cl.upf
ATOMIC_POSITIONS angstrom
Rb 0.000 0.000 0.000
Ni 3.399 1.962 3.623
Pb 0.000 3.925 3.623
Cl 2.502 0.245 5.047
Cl 1.463 2.044 2.199
Cl 4.297 0.245 2.199
Cl 2.360 3.598 5.047
Cl 5.335 2.044 5.047
Cl 4.438 3.598 2.199
CELL_PARAMETERS angstrom
6.798 0.000 0.000
-3.399 5.887 0.000
0.000 0.000 7.246
```



An optimized crystal structure of RbNi2PbCl8. Source: Alexandria via LeMat-Bulk, functional PBE. Values from VASP.

Summary:
M_tot   0.42 μB per atom
SG   R-3 (148)
Mass density   3.203 g/cm³
Formation energy (no corrections)   -868 meV per atom
Crystal system   trigonal

The structure in Quantum ESPRESSO input format:
```
&SYSTEM
  ibrav = 0, nat = 12, ntyp = 4
/
ATOMIC_SPECIES
Rb 85.47 Rb.upf
Ni 58.69 Ni.upf
Pb 207.20 Pb.upf
Cl 35.45 Cl.upf
ATOMIC_POSITIONS angstrom
Rb 0.000 0.000 0.000
Ni 0.000 0.000 7.126
Ni 0.000 0.000 21.406
Pb 0.000 0.000 14.266
Cl -1.187 -2.032 12.542
Cl -2.353 0.012 15.989
Cl 0.000 0.000 9.292
Cl -1.166 2.044 12.542
Cl 1.166 -2.044 15.989
Cl 0.000 0.000 19.240
Cl 2.353 -0.012 12.542
Cl 1.187 2.032 15.989
CELL_PARAMETERS angstrom
3.304 1.908 9.511
-3.304 1.908 9.511
0.000 -3.815 9.511
```



An optimized crystal structure of Rb2NiPbCl6. Source: Alexandria via LeMat-Bulk, functional PBE. Values from VASP.

Summary:
M_tot   0.20 μB per atom
SG   Cm (8)
Mass density   3.704 g/cm³
Formation energy (no corrections)   -1287 meV per atom
Crystal system   monoclinic

The structure in Quantum ESPRESSO input format:
```
&SYSTEM
  ibrav = 0, nat = 10, ntyp = 4
/
ATOMIC_SPECIES
Rb 85.47 Rb.upf
Ni 58.69 Ni.upf
Pb 207.20 Pb.upf
Cl 35.45 Cl.upf
ATOMIC_POSITIONS angstrom
Rb 0.000 0.000 0.000
Rb 4.292 0.000 3.038
Ni -0.002 0.000 4.555
Pb 8.586 0.000 1.518
Cl -1.975 0.000 3.161
Cl 0.985 1.711 3.161
Cl -0.991 1.711 5.952
Cl 0.985 -1.711 3.161
Cl -0.991 -1.711 5.952
Cl 1.969 0.000 5.952
CELL_PARAMETERS angstrom
6.441 -3.721 0.000
6.441 3.721 0.000
-4.297 0.000 6.076
```



- Look up the formation energy (no corrections) of the third one.
  -73 meV per atom